The following is a DFT calculation (PBE with a Hubbard U) of a relaxed structure of Mn3OF5.

distance to the lowest polymorph of the same formula = 0.000 eV per formula unit
volume = 470.8 Å³/cell

Lattice parameters (Å, degrees): 9.4133 7.1196 7.5425 90.00 111.34 90.00
Space group C2/m (No. 12)
One atom of each set of equivalent atoms:
Mn (0.0000, 0.0000, 0.0000) [2 per cell]
Mn (0.0000, 0.0000, 0.5000) [2 per cell]
Mn (0.1497, 0.5000, 0.1556) [4 per cell]
Mn (0.1590, 0.5000, 0.6781) [4 per cell]
O (0.0634, 0.5000, 0.8808) [4 per cell]
F (0.0000, 0.2979, 0.5000) [4 per cell]
F (0.1244, 0.0000, 0.8081) [4 per cell]
F (0.1635, 0.1915, 0.1789) [8 per cell]
F (0.2487, 0.0000, 0.5530) [4 per cell]

The following is a DFT calculation (PBE with a Hubbard U) of a relaxed structure of Mn8O13F3.

distance to the lowest polymorph of the same formula = 0.614 eV per formula unit
volume = 248.5 Å³/cell

Lattice parameters (Å, degrees): 4.5103 7.4359 7.4536 84.11 88.23 88.66
Space group P1 (No. 1)
One atom of each set of equivalent atoms:
Mn (0.0000, 0.0000, 0.0000) [1 per cell]
Mn (0.9996, 0.0991, 0.6034) [1 per cell]
Mn (0.0171, 0.5919, 0.1094) [1 per cell]
Mn (0.4919, 0.7553, 0.7467) [1 per cell]
Mn (0.5063, 0.8570, 0.3413) [1 per cell]
Mn (0.5132, 0.2523, 0.2580) [1 per cell]
Mn (0.5172, 0.3613, 0.8430) [1 per cell]
Mn (0.9865, 0.4872, 0.4962) [1 per cell]
O (0.2173, 0.9502, 0.7796) [1 per cell]
O (0.2299, 0.3141, 0.6406) [1 per cell]
O (0.2338, 0.4520, 0.2853) [1 per cell]
O (0.2357, 0.8130, 0.1422) [1 per cell]
O (0.2608, 0.0671, 0.3875) [1 per cell]
O (0.2653, 0.5651, 0.8927) [1 per cell]
O (0.7243, 0.8957, 0.5587) [1 per cell]
O (0.7266, 0.0322, 0.2009) [1 per cell]
O (0.7290, 0.5359, 0.6962) [1 per cell]
O (0.7432, 0.3912, 0.0655) [1 per cell]
O (0.7580, 0.1426, 0.8148) [1 per cell]
O (0.7620, 0.6381, 0.3143) [1 per cell]
O (0.7731, 0.2802, 0.4610) [1 per cell]
F (0.2481, 0.7009, 0.5144) [1 per cell]
F (0.2776, 0.2140, 0.0216) [1 per cell]
F (0.7682, 0.7613, 0.9628) [1 per cell]

The following is a DFT calculation (PBE with a Hubbard U) of a relaxed structure of Mn6OF11.

distance to the lowest polymorph of the same formula = 0.103 eV per formula unit
volume = 473.6 Å³/cell

Lattice parameters (Å, degrees): 4.9614 16.2235 5.8840 90.00 90.54 90.00
Space group P2_1 (No. 4)
One atom of each set of equivalent atoms:
Mn (0.2227, 0.0000, 0.0538) [2 per cell]
Mn (0.2290, 0.1606, 0.4129) [2 per cell]
Mn (0.2444, 0.4976, 0.4001) [2 per cell]
Mn (0.2451, 0.3273, 0.0778) [2 per cell]
Mn (0.2492, 0.6579, 0.0935) [2 per cell]
Mn (0.2674, 0.8324, 0.4198) [2 per cell]
O (0.0466, 0.5490, 0.1713) [2 per cell]
F (0.0008, 0.5490, 0.6519) [2 per cell]
F (0.0029, 0.2202, 0.1397) [2 per cell]
F (0.0254, 0.3889, 0.3642) [2 per cell]
F (0.0325, 0.7227, 0.3660) [2 per cell]
F (0.0407, 0.8849, 0.1379) [2 per cell]
F (0.4489, 0.1076, 0.1247) [2 per cell]
F (0.4667, 0.2711, 0.3560) [2 per cell]
F (0.4825, 0.4366, 0.1454) [2 per cell]
F (0.4893, 0.6002, 0.3790) [2 per cell]
F (0.4890, 0.7694, 0.1496) [2 per cell]
F (0.4971, 0.4445, 0.6274) [2 per cell]